Version one
## Fe3TeW (GGA-PBE)

Data for a relaxed Fe3TeW crystal.

POSCAR file:
```
Fe3TeW
1.0
-2.514 2.935 -2.461
0.682 -2.554 -3.742
-3.769 -2.419 0.965
Te Fe W
1 3 1
Cartesian
-2.801 -1.019 -2.619
0.341 -1.277 -1.871
-1.885 -1.210 0.483
-1.257 1.468 -1.231
0.000 0.000 0.000
```

Computed properties:
M_tot (μB per cell): 5.11
Crystal system: cubic


Version two
## Fe3TeW (GGA-PBE)

Data for a relaxed Fe3TeW crystal.

POSCAR file:
```
Fe3TeW
1.0
-1.375 2.886 -3.269
-3.434 1.396 2.676
2.688 3.260 1.748
Te Fe W
1 3 1
Cartesian
0.000 0.000 0.000
-1.717 0.698 1.338
1.344 1.630 0.874
-0.687 1.443 -1.635
-1.061 3.771 0.577
```

Computed properties:
M_tot (μB per cell): 3.58
Crystal system: cubic


List of relative energies, unit meV per atom: version one 0; version two 382


Version one
## Y5Fe2Te2 (GGA-PBE)

Data for a relaxed Y5Fe2Te2 crystal.

POSCAR file:
```
Y5Fe2Te2
1.0
-6.278 -4.533 0.561
7.707 0.836 -0.436
0.774 0.814 15.245
Fe Te Y
4 4 10
Cartesian
-0.144 -1.790 11.599
2.347 -1.093 3.771
6.005 0.571 11.160
-3.803 -3.453 4.210
-0.564 -2.101 7.191
3.091 -0.440 14.581
-0.889 -2.443 0.789
2.766 -0.782 8.179
-5.440 -4.014 6.345
7.848 1.346 13.048
-5.645 -4.229 2.322
7.643 1.131 9.024
-2.205 -2.645 9.865
4.217 -0.438 1.757
-2.014 -2.445 13.613
4.407 -0.238 5.505
2.709 -0.695 11.395
-0.506 -2.188 3.975
```

Computed properties:
M_tot (μB per cell): 0.00
Crystal system: orthorhombic


Version two
## Y5Fe2Te2 (GGA-PBE)

Data for a relaxed Y5Fe2Te2 crystal.

POSCAR file:
```
Y5Fe2Te2
1.0
0.516 -6.426 4.240
2.976 -3.711 -5.986
7.509 -1.112 4.422
Y Fe Te
10 4 4
Cartesian
0.000 0.000 0.000
1.746 -5.068 -0.873
6.426 -4.365 4.250
8.573 -9.014 1.733
7.832 -5.199 0.583
7.166 -8.179 5.400
4.575 -6.884 -1.574
2.428 -2.235 0.942
3.168 -6.050 2.092
3.835 -3.070 -2.724
1.233 -2.160 -1.912
2.259 -7.977 0.165
2.868 -5.845 -3.698
0.624 -4.292 1.951
4.451 -1.998 3.451
6.197 -7.066 2.578
3.573 -5.540 5.211
4.804 -4.182 0.098
```

Computed properties:
M_tot (μB per cell): 2.65
Crystal system: orthorhombic


List of relative energies, unit meV per atom: version one 0; version two 69


Version one
## Y3FeTe (GGA-PBE)

Data for a relaxed Y3FeTe crystal.

POSCAR file:
```
Y3FeTe
1.0
5.161 0.000 0.000
0.000 5.161 0.000
0.000 0.000 5.161
Y Te Fe
3 1 1
Cartesian
0.000 2.581 0.000
0.000 0.000 2.581
2.581 0.000 0.000
2.581 2.581 2.581
0.000 0.000 0.000
```

Computed properties:
M_tot (μB per cell): 0.00
Crystal system: cubic


Version two
## Y3FeTe (GGA-PBE)

Data for a relaxed Y3FeTe crystal.

POSCAR file:
```
Y3FeTe
1.0
-1.546 0.660 -3.579
-1.254 -8.296 -0.988
-6.776 3.179 3.514
Y Fe Te
6 2 2
Cartesian
-3.293 -3.717 -0.355
-6.282 -0.739 -0.698
-5.171 1.743 1.463
-1.927 -1.279 -2.680
-4.405 -6.200 -2.517
-7.649 -3.177 1.627
-2.212 -4.030 -3.064
-7.363 -0.427 2.011
-6.328 -3.894 -1.261
-3.248 -0.562 0.207
```

Computed properties:
M_tot (μB per cell): 1.84
Crystal system: monoclinic


List of relative energies, unit meV per atom: version one 328; version two 0


Version one
## ZnFeTe3 (GGA-PBE)

Data for a relaxed ZnFeTe3 crystal.

POSCAR file:
```
ZnFeTe3
1.0
5.260 0.000 0.000
0.000 5.260 0.000
0.000 0.000 5.260
Zn Te Fe
1 3 1
Cartesian
0.000 0.000 0.000
0.000 2.630 0.000
0.000 0.000 2.630
2.630 0.000 0.000
2.630 2.630 2.630
```

Computed properties:
M_tot (μB per cell): 3.48
Crystal system: cubic


Version two
## ZnFeTe3 (GGA-PBE)

Data for a relaxed ZnFeTe3 crystal.

POSCAR file:
```
ZnFeTe3
1.0
-3.146 -0.205 -3.967
-1.794 -4.442 1.652
-3.545 2.430 2.685
Zn Te Fe
1 3 1
Cartesian
-4.242 -1.109 0.185
-0.897 -2.221 0.826
-1.772 1.215 1.343
-1.573 -0.103 -1.984
0.000 0.000 0.000
```

Computed properties:
M_tot (μB per cell): 0.00
Crystal system: cubic


List of relative energies, unit meV per atom: version one 373; version two 0


Version one
## ZnFe2Te (GGA-PBE)

Data for a relaxed ZnFe2Te crystal.

POSCAR file:
```
ZnFe2Te
1.0
-1.321 0.970 -2.610
-1.611 -2.623 -0.160
-4.322 2.466 3.103
Fe Te Zn
2 1 1
Cartesian
-4.310 2.459 3.095
-2.173 1.240 1.560
-2.546 -0.210 -0.609
-4.707 1.024 0.942
```

Computed properties:
M_tot (μB per cell): 0.00
Crystal system: tetragonal


Version two
## ZnFe2Te (GGA-PBE)

Data for a relaxed ZnFe2Te crystal.

POSCAR file:
```
ZnFe2Te
1.0
-2.435 0.434 2.312
1.394 -2.007 1.845
3.461 4.909 2.725
Fe Te Zn
2 1 1
Cartesian
3.571 4.069 2.998
2.317 2.291 2.011
-0.004 0.942 2.298
2.423 2.393 4.583
```

Computed properties:
M_tot (μB per cell): 5.03
Crystal system: orthorhombic


Version three
## ZnFe2Te (GGA-PBE)

Data for a relaxed ZnFe2Te crystal.

POSCAR file:
```
ZnFe2Te
1.0
-5.723 -4.510 -3.470
-3.268 -5.300 -5.135
-3.810 -6.681 -2.447
Fe Te Zn
2 1 1
Cartesian
-12.770 -16.451 -11.025
-6.431 -8.285 -5.553
-9.601 -12.368 -8.289
-3.200 -4.123 -2.763
```

Computed properties:
M_tot (μB per cell): 4.64
Crystal system: trigonal


Version four
## ZnFe2Te (GGA-PBE)

Data for a relaxed ZnFe2Te crystal.

POSCAR file:
```
ZnFe2Te
1.0
3.892 0.000 0.000
0.000 3.387 -0.005
0.000 1.695 4.897
Fe Te Zn
2 1 1
Cartesian
0.000 2.331 4.751
1.946 0.635 1.256
0.000 2.330 2.089
1.946 4.024 4.141
```

Computed properties:
M_tot (μB per cell): 4.48
Crystal system: orthorhombic


List of relative energies, unit meV per atom: version one 168; version two 88; version three 204; version four 0


Version one
## Th2TlFe (GGA-PBE)

Data for a relaxed Th2TlFe crystal.

POSCAR file:
```
Th2TlFe
1.0
-1.289 3.517 -1.132
-3.041 1.651 1.828
3.831 5.409 5.677
Th Tl Fe
2 1 1
Cartesian
2.896 4.756 4.711
-0.508 2.376 1.197
-0.225 5.305 3.211
0.919 8.837 6.115
```

Computed properties:
M_tot (μB per cell): 0.00
Crystal system: trigonal


Version two
## Th2TlFe (GGA-PBE)

Data for a relaxed Th2TlFe crystal.

POSCAR file:
```
Th2TlFe
1.0
3.932 0.000 0.000
1.966 3.405 0.000
1.966 1.135 8.309
Tl Fe Th
1 1 2
Cartesian
3.932 2.270 4.154
0.000 0.000 0.000
1.966 1.135 1.476
5.898 3.405 6.833
```

Computed properties:
M_tot (μB per cell): 0.00
Crystal system: trigonal


List of relative energies, unit meV per atom: version one 21; version two 0


Version one
## Th2TlFe (GGA-PBE)

Data for a relaxed Th2TlFe crystal.

POSCAR file:
```
Th2TlFe
1.0
3.391 0.000 0.000
0.000 3.391 0.000
0.000 0.000 8.777
Tl Fe Th
1 1 2
Cartesian
1.695 1.695 4.388
1.695 1.695 0.000
0.000 0.000 7.035
0.000 0.000 1.742
```

Computed properties:
M_tot (μB per cell): 0.85
Crystal system: tetragonal


Version two
## Th2TlFe (GGA-PBE)

Data for a relaxed Th2TlFe crystal.

POSCAR file:
```
Th2TlFe
1.0
3.768 0.000 0.000
-1.884 7.040 -0.058
0.000 -0.563 7.820
Th Tl Fe
4 2 2
Cartesian
1.884 3.673 2.403
0.000 2.804 5.359
1.884 5.955 5.377
0.000 0.522 2.385
0.000 5.464 0.258
1.884 1.013 7.504
0.000 5.362 3.384
1.884 1.114 4.378
```

Computed properties:
M_tot (μB per cell): 0.00
Crystal system: monoclinic


Version three
## Th2TlFe (GGA-PBE)

Data for a relaxed Th2TlFe crystal.

POSCAR file:
```
Th2TlFe
1.0
-3.871 0.789 -0.201
-0.929 -5.249 -2.714
-1.094 -3.242 8.351
Th Tl Fe
4 2 2
Cartesian
-2.051 -5.117 -0.058
-3.844 -2.584 5.493
-3.616 -2.381 1.898
-2.279 -5.321 3.538
-1.272 -1.413 -0.516
-4.623 -6.288 5.951
-4.180 -5.242 1.527
-1.715 -2.459 3.908
```

Computed properties:
M_tot (μB per cell): 0.00
Crystal system: monoclinic


List of relative energies, unit meV per atom: version one 83; version two 7; version three 0


Version one
## Th5Tl2Fe (GGA-PBE)

Data for a relaxed Th5Tl2Fe crystal.

POSCAR file:
```
Th5Tl2Fe
1.0
4.642 0.000 0.000
0.000 8.183 0.000
0.000 0.000 12.408
Th Tl Fe
10 4 2
Cartesian
0.000 0.000 6.204
0.000 4.092 0.000
0.000 7.165 2.389
0.000 1.018 10.019
0.000 5.110 8.593
0.000 3.074 3.815
2.321 5.621 5.427
2.321 2.562 6.981
2.321 6.654 11.631
2.321 1.529 0.777
2.321 4.794 2.186
2.321 3.390 10.222
2.321 7.481 8.389
2.321 0.702 4.018
0.000 4.092 6.204
0.000 0.000 0.000
```

Computed properties:
M_tot (μB per cell): 0.00
Crystal system: orthorhombic


Version two
## Th5Tl2Fe (GGA-PBE)

Data for a relaxed Th5Tl2Fe crystal.

POSCAR file:
```
Th5Tl2Fe
1.0
-6.372 -3.813 1.048
3.931 -5.894 2.458
0.976 6.361 2.253
Th Tl Fe
5 2 1
Cartesian
-3.818 -4.318 1.427
-0.607 -2.397 0.899
-1.837 -7.288 2.666
1.374 -5.367 2.138
-1.330 -4.176 3.552
1.843 -2.191 3.238
-3.308 -1.150 2.532
-0.018 0.110 0.292
```

Computed properties:
M_tot (μB per cell): 0.00
Crystal system: tetragonal


List of relative energies, unit meV per atom: version one 0; version two 188


Version one
## Th3Tl2Fe (GGA-PBE)

Data for a relaxed Th3Tl2Fe crystal.

POSCAR file:
```
Th3Tl2Fe
1.0
-3.449 -1.257 3.424
5.449 -0.958 5.137
-2.464 7.724 4.054
Th Tl Fe
6 4 2
Cartesian
-0.236 -0.890 3.115
-0.229 6.399 9.501
-2.312 5.986 3.569
-0.927 0.555 6.634
0.462 4.955 5.982
1.847 -0.477 9.047
0.338 3.058 8.837
-2.683 3.590 5.987
2.219 1.919 6.629
-0.803 2.451 3.778
1.348 7.054 7.650
-1.813 -1.544 4.966
```

Computed properties:
M_tot (μB per cell): 0.00
Crystal system: monoclinic


Version two
## Th3Tl2Fe (GGA-PBE)

Data for a relaxed Th3Tl2Fe crystal.

POSCAR file:
```
Th3Tl2Fe
1.0
-1.621 -6.515 -3.014
-2.244 -5.396 3.885
-8.111 0.465 -1.972
Th Tl Fe
6 4 2
Cartesian
-8.546 -5.923 -0.572
-1.998 -2.053 -1.345
-3.431 -5.523 -0.528
-4.560 -9.257 -0.835
-7.416 -2.189 -0.266
-7.735 -3.997 -3.641
0.000 0.000 0.000
-4.866 -3.025 -2.493
-5.928 -4.609 1.501
-6.049 -6.837 -2.601
-2.556 -7.910 0.503
-1.309 -4.001 0.368
```

Computed properties:
M_tot (μB per cell): 0.00
Crystal system: monoclinic


List of relative energies, unit meV per atom: version one 0; version two 126


Version one
## TmThFe (GGA-PBE)

Data for a relaxed TmThFe crystal.

POSCAR file:
```
TmThFe
1.0
-1.087 -2.486 5.419
0.936 -3.458 -1.399
2.706 2.237 1.569
Tm Fe Th
1 1 1
Cartesian
-0.094 -0.215 0.469
1.740 -0.522 2.455
0.909 -2.971 2.666
```

Computed properties:
M_tot (μB per cell): 0.00
Crystal system: trigonal


Version two
## TmThFe (GGA-PBE)

Data for a relaxed TmThFe crystal.

POSCAR file:
```
TmThFe
1.0
4.711 0.000 0.000
2.356 4.080 0.000
2.356 1.360 3.847
Tm Fe Th
1 1 1
Cartesian
4.711 2.720 1.923
2.356 1.360 0.962
0.000 0.000 0.000
```

Computed properties:
M_tot (μB per cell): 0.00
Crystal system: cubic


List of relative energies, unit meV per atom: version one 0; version two 19


Version one
## TmThFe (GGA-PBE)

Data for a relaxed TmThFe crystal.

POSCAR file:
```
TmThFe
1.0
3.395 0.000 0.000
0.000 3.395 0.000
-1.697 -1.697 6.209
Tm Fe Th
1 1 1
Cartesian
0.000 0.000 0.405
1.697 1.697 2.112
0.000 0.000 3.692
```

Computed properties:
M_tot (μB per cell): 0.80
Crystal system: tetragonal


Version two
## TmThFe (GGA-PBE)

Data for a relaxed TmThFe crystal.

POSCAR file:
```
TmThFe
1.0
3.642 0.000 0.000
0.000 6.597 0.000
0.000 0.000 11.806
Fe Tm Th
4 4 4
Cartesian
1.821 6.585 10.420
3.642 3.311 1.384
1.821 3.286 7.289
0.000 0.012 4.519
1.821 1.655 2.949
3.642 1.644 8.857
1.821 4.953 2.954
0.000 4.942 8.852
3.642 6.593 0.309
1.821 3.302 11.496
0.000 3.295 5.594
1.821 0.004 6.213
```

Computed properties:
M_tot (μB per cell): 0.00
Crystal system: orthorhombic


List of relative energies, unit meV per atom: version one 103; version two 0